# AcTbSe3 | the Alexandria database | GGA-PBE | optimized geometry
data_AcTbSe3
_cell_length_a 4.3105
_cell_length_b 7.0968
_cell_length_c 9.3675
_cell_angle_alpha 90.00
_cell_angle_beta 90.00
_cell_angle_gamma 90.00
_symmetry_space_group_name_H-M 'P m m n'
_symmetry_Int_Tables_number 59
loop_
_symmetry_equiv_pos_as_xyz
'x,y,z'
'-x,-y,-z'
'-x+1/2,-y+1/2,z'
'x+1/2,y+1/2,-z'
'x+1/2,-y,-z'
'-x+1/2,y,z'
'-x,y+1/2,-z'
'x,-y+1/2,z'
loop_
_atom_site_label
_atom_site_type_symbol
_atom_site_fract_x
_atom_site_fract_y
_atom_site_fract_z
_atom_site_occupancy
Ac1 Ac 0.2500 0.2500 0.1496 1
Tb1 Tb 0.2500 0.7500 0.4022 1
Se1 Se 0.2500 0.5150 0.6599 1
Se2 Se 0.2500 0.7500 0.0796 1
# * total moment: 0.000 μB per atom
# * E_form (uncorrected): -1.939 eV per atom
# * total DFT energy (no corrections): -5.7770 eV/atom
# * ΔE to the lowest computed polymorph: 25 meV/atom